1.
The following is a GGA-PBE calculation of a geometry-optimized NdIn2ReO8 structure, from Alexandria.

Geometry as POSCAR:
```
NdIn2ReO8
1.0
-2.668 -3.385 2.504
2.651 0.962 4.109
-4.426 4.774 1.738
In O Nd Re
2 8 1 1
Cartesian
-1.108 -0.025 3.738
-3.335 2.376 4.612
-2.570 -1.622 3.153
0.776 1.115 4.157
-1.874 3.973 5.197
-5.220 1.236 4.193
-2.221 0.735 5.390
-2.223 1.617 2.961
-0.010 -1.744 4.767
-4.433 4.096 3.583
-2.213 2.387 0.869
0.000 0.000 0.000
```

Values from the calculation:
* symmetry: P2/m, No. 10
* calculated total energy: -84.697 eV/cell

---

2.
The following is a GGA-PBE calculation of a geometry-optimized RbAcOF2 structure, from Alexandria.

Geometry as POSCAR:
```
RbAcOF2
1.0
4.989 0.000 0.000
0.000 4.989 0.000
0.000 0.000 4.742
Ac O F Rb
1 1 2 1
Cartesian
0.000 0.000 0.001
0.000 4.989 2.371
0.000 2.494 4.740
2.494 4.989 4.740
2.494 2.495 2.373
```

Values from the calculation:
* symmetry: P4/mmm, No. 123
* calculated total energy: -29.599 eV/cell

---

What is the calculated total energy in the first record? -84.697 eV/cell

---

Which value of calculated total energy does entry 1 give? -84.697 eV/cell

---

What is the calculated total energy in the first record? -84.697 eV/cell

---

Repeat the first record exactly.
The following is a GGA-PBE calculation of a geometry-optimized NdIn2ReO8 structure, from Alexandria.

Geometry as POSCAR:
```
NdIn2ReO8
1.0
-2.668 -3.385 2.504
2.651 0.962 4.109
-4.426 4.774 1.738
In O Nd Re
2 8 1 1
Cartesian
-1.108 -0.025 3.738
-3.335 2.376 4.612
-2.570 -1.622 3.153
0.776 1.115 4.157
-1.874 3.973 5.197
-5.220 1.236 4.193
-2.221 0.735 5.390
-2.223 1.617 2.961
-0.010 -1.744 4.767
-4.433 4.096 3.583
-2.213 2.387 0.869
0.000 0.000 0.000
```

Values from the calculation:
* symmetry: P2/m, No. 10
* calculated total energy: -84.697 eV/cell